First-principles (PBE) data for Tb2PmHo9 after structural relaxation, as listed in Alexandria via LeMat-Bulk.

The structure belongs to space group P6/mmm (No. 191); the cell edges are 11.1905, 11.1905 and 3.5002 Å and the angles 90.00°, 90.00° and 120.00°. The asymmetric unit holds Tb at (0.3333, 0.6667, 0.0000), Pm at (0.0000, 0.0000, 0.0000), Ho at (0.0000, 0.5000, 0.0000) and Ho at (0.1774, 0.3548, 0.5000).

The calculation puts the formation enthalpy at 0 K at 0.046 eV per atom. The energy above the most stable polymorph in this dataset is 0.025 eV/atom. As for the total energy: -4.56 eV per atom. Its total magnetization is 0.0 μB per cell.